Material: CoHgAsSe2
Method: DFT, SCAN
State: single point on PBEsol structure

Computed properties:
- crystal system = tetragonal
- magnetization (μB per formula unit) = 3.62
- raw total energy (eV per atom) = -27.869

```
5
Lattice="5.1488 0.0000 0.0000 0.0000 5.1488 0.0000 0.0000 0.0000 5.0109" Properties=species:S:1:pos:R:3 pbc="T T T"
Co 0.0000 0.0000 0.0000
Hg 2.5744 2.5744 2.5054
As 2.5744 2.5744 0.0000
Se 0.0000 2.5744 2.5054
Se 2.5744 0.0000 2.5054
```

---

Material: CoAsI3
Method: DFT, SCAN
State: single point on PBEsol structure

Computed properties:
- crystal system = cubic
- magnetization (μB per formula unit) = 0.00
- raw total energy (eV per atom) = -28.852

```
5
Lattice="5.0563 0.0000 0.0000 0.0000 5.0563 0.0000 0.0000 0.0000 5.0563" Properties=species:S:1:pos:R:3 pbc="T T T"
Co 0.0000 0.0000 0.0000
As 2.5281 2.5281 2.5281
I 0.0000 0.0000 2.5281
I 0.0000 2.5281 0.0000
I 2.5281 0.0000 0.0000
```

---

Material: CoAs2IrI
Method: DFT, SCAN
State: single point on PBEsol structure

Computed properties:
- crystal system = tetragonal
- magnetization (μB per formula unit) = 2.74
- raw total energy (eV per atom) = -32.448

```
5
Lattice="4.6991 0.0000 0.0000 0.0000 4.6991 0.0000 0.0000 0.0000 4.9433" Properties=species:S:1:pos:R:3 pbc="T T T"
Co 0.0000 0.0000 0.0000
As 0.0000 2.3495 2.4716
As 2.3495 0.0000 2.4716
Ir 0.0000 0.0000 2.4716
I 2.3495 2.3495 0.0000
```

---

Material: CoAsSe2I
Method: DFT, SCAN
State: single point on PBEsol structure

Computed properties:
- crystal system = tetragonal
- magnetization (μB per formula unit) = 3.29
- raw total energy (eV per atom) = -21.391

```
5
Lattice="5.3007 0.0000 0.0000 0.0000 5.3007 0.0000 0.0000 0.0000 5.2146" Properties=species:S:1:pos:R:3 pbc="T T T"
Co 0.0000 0.0000 0.0000
As 2.6503 2.6503 0.0000
Se 0.0000 2.6503 2.6073
Se 2.6503 0.0000 2.6073
I 2.6503 2.6503 2.6073
```

---

Material: In3CoAs
Method: DFT, SCAN
State: single point on PBEsol structure

Computed properties:
- crystal system = cubic
- energy of formation from the pure elements (eV/f.u.) = 1.8
- magnetization (μB per formula unit) = 1.24
- raw total energy (eV per atom) = -27.179

```
5
Lattice="4.8345 0.0000 0.0000 0.0000 4.8345 0.0000 0.0000 0.0000 4.8345" Properties=species:S:1:pos:R:3 pbc="T T T"
In 0.0000 0.0000 2.4173
In 0.0000 2.4173 0.0000
In 2.4173 0.0000 0.0000
Co 0.0000 0.0000 0.0000
As 2.4173 2.4173 2.4173
```

---

Material: InCoAs
Method: DFT, SCAN
State: single point on PBEsol structure

Computed properties:
- crystal system = cubic
- energy of formation from the pure elements (eV/f.u.) = 1.7
- magnetization (μB per formula unit) = 1.28
- raw total energy (eV per atom) = -23.067

```
12
Lattice="6.0303 0.0000 0.0000 0.0000 6.0303 0.0000 0.0000 0.0000 6.0303" Properties=species:S:1:pos:R:3 pbc="T T T"
In 0.0000 0.0000 0.0000
In 0.0000 3.0151 3.0151
In 3.0151 0.0000 3.0151
In 3.0151 3.0151 0.0000
Co 0.0000 0.0000 3.0151
Co 0.0000 3.0151 0.0000
Co 3.0151 0.0000 0.0000
Co 3.0151 3.0151 3.0151
As 1.5076 1.5076 4.5227
As 1.5076 4.5227 1.5076
As 4.5227 1.5076 1.5076
As 4.5227 4.5227 4.5227
```

---

Please write out number 4 again, unchanged.
Material: CoAsSe2I
Method: DFT, SCAN
State: single point on PBEsol structure

Computed properties:
- crystal system = tetragonal
- magnetization (μB per formula unit) = 3.29
- raw total energy (eV per atom) = -21.391

```
5
Lattice="5.3007 0.0000 0.0000 0.0000 5.3007 0.0000 0.0000 0.0000 5.2146" Properties=species:S:1:pos:R:3 pbc="T T T"
Co 0.0000 0.0000 0.0000
As 2.6503 2.6503 0.0000
Se 0.0000 2.6503 2.6073
Se 2.6503 0.0000 2.6073
I 2.6503 2.6503 2.6073
```

---

Copy entry 5 word for word.
Material: In3CoAs
Method: DFT, SCAN
State: single point on PBEsol structure

Computed properties:
- crystal system = cubic
- energy of formation from the pure elements (eV/f.u.) = 1.8
- magnetization (μB per formula unit) = 1.24
- raw total energy (eV per atom) = -27.179

```
5
Lattice="4.8345 0.0000 0.0000 0.0000 4.8345 0.0000 0.0000 0.0000 4.8345" Properties=species:S:1:pos:R:3 pbc="T T T"
In 0.0000 0.0000 2.4173
In 0.0000 2.4173 0.0000
In 2.4173 0.0000 0.0000
Co 0.0000 0.0000 0.0000
As 2.4173 2.4173 2.4173
```